Material: Pm7Ag2Ge2
Method: DFT, GGA-PBE
State: relaxed

Fermi-level density of states = 12.399 states/eV/cell
E_tot = -4.4597 eV/atom
mass density = 7030 kg/m³

a = 6.751 Å, b = 7.528 Å, c = 6.751 Å
α = 90.01°, β = 108.68°, γ = 89.99°
Fractional positions:
Pm 0.000 0.295 0.500
Pm 0.500 0.705 0.000
Pm 0.000 0.705 0.500
Pm 0.500 0.295 0.000
Pm 0.000 0.000 0.000
Pm 0.500 0.733 0.500
Pm 0.500 0.267 0.500
Ag 0.714 0.000 0.286
Ag 0.286 0.000 0.714
Ge 0.832 0.500 0.832
Ge 0.168 0.500 0.168